# 1
The following is a GGA-PBE calculation of an optimized crystal structure of Ca3YAg, from the Alexandria database.

Summary:
VASP energy: -14.6 eV/f.u.
E_form: 0.1417 eV/atom
DOS at the Fermi energy: 10.4 states/eV per cell
relative energy among the computed polymorphs: 0.000 eV/atom

abc: 5.737 5.737 5.737
angles: 90.00 90.00 90.00
Space group Pm-3m (No. 221)
Symmetry-distinct sites (fractional):
Ca: 0.000 0.000 0.500 (multiplicity 3)
Y: 0.500 0.500 0.500 (multiplicity 1)
Ag: 0.000 0.000 0.000 (multiplicity 1)


# 2
The following is a GGA-PBE calculation of an optimized crystal structure of NdSmGaCu, from the Alexandria database.

Summary:
VASP energy: -18.0 eV/f.u.
E_form: -0.3491 eV/atom
DOS at the Fermi energy: 17.0 states/eV per cell

abc: 7.270 7.270 7.270
angles: 90.00 90.00 90.00
Space group F-43m (No. 216)
Symmetry-distinct sites (fractional):
Nd: 0.000 0.000 0.000 (multiplicity 4)
Sm: 0.000 0.000 0.500 (multiplicity 4)
Ga: 0.250 0.250 0.750 (multiplicity 4)
Cu: 0.250 0.250 0.250 (multiplicity 4)


# 3
The following is a GGA-PBE calculation of an optimized crystal structure of Sr4GeIBr2, from the Alexandria database.

Summary:
VASP energy: -26.3 eV/f.u.
DOS at the Fermi energy: 3.6 states/eV per cell
formation energy without anion corrections: -1.25 eV/atom

abc: 7.930 4.697 8.243
angles: 90.00 109.58 90.00
Space group P2/m (No. 10)
Symmetry-distinct sites (fractional):
Sr: 0.223 0.000 0.213 (multiplicity 2)
Sr: 0.241 0.500 0.780 (multiplicity 2)
Ge: 0.000 0.500 0.000 (multiplicity 1)
I: 0.000 0.000 0.500 (multiplicity 1)
Br: 0.500 0.000 0.000 (multiplicity 1)
Br: 0.500 0.500 0.500 (multiplicity 1)


# 4
The following is a GGA-PBE calculation of an optimized crystal structure of TbPmCdRh, from the Alexandria database.

Summary:
VASP energy: -19.6 eV/f.u.
E_form: -0.4800 eV/atom
DOS at the Fermi energy: 9.0 states/eV per cell

abc: 7.258 7.258 7.258
angles: 90.00 90.00 90.00
Space group F-43m (No. 216)
Symmetry-distinct sites (fractional):
Tb: 0.000 0.000 0.000 (multiplicity 4)
Pm: 0.000 0.000 0.500 (multiplicity 4)
Cd: 0.250 0.250 0.250 (multiplicity 4)
Rh: 0.250 0.250 0.750 (multiplicity 4)


# 5
The following is a GGA-PBE calculation of an optimized crystal structure of Hf2ZrCd2, from the Alexandria database.

Summary:
VASP energy: -30.7 eV/f.u.
E_form: -0.0807 eV/atom
DOS at the Fermi energy: 15.6 states/eV per cell
relative energy among the computed polymorphs: 0.000 eV/atom

abc: 4.504 21.861 4.479
angles: 90.00 90.00 90.00
Space group Cmcm (No. 63)
Symmetry-distinct sites (fractional):
Hf: 0.000 0.150 0.250 (multiplicity 4)
Hf: 0.000 0.250 0.750 (multiplicity 4)
Zr: 0.000 0.351 0.250 (multiplicity 4)
Cd: 0.000 0.048 0.750 (multiplicity 4)
Cd: 0.000 0.452 0.750 (multiplicity 4)


# 6
The following is a GGA-PBE calculation of an optimized crystal structure of ReSeCl2, from the Alexandria database.

Summary:
VASP energy: -16.3 eV/f.u.
DOS at the Fermi energy: 6.8 states/eV per cell
formation energy without anion corrections: 0.83 eV/atom
relative energy among the computed polymorphs: 1.027 eV/atom

abc: 6.562 6.562 6.562
angles: 90.00 90.00 90.00
Space group F-43m (No. 216)
Symmetry-distinct sites (fractional):
Re: 0.000 0.000 0.000 (multiplicity 4)
Se: 0.250 0.250 0.750 (multiplicity 4)
Cl: 0.000 0.000 0.500 (multiplicity 4)
Cl: 0.250 0.250 0.250 (multiplicity 4)


# 7
The following is a GGA-PBE calculation of an optimized crystal structure of KBaNpCl6, from the Alexandria database.

Summary:
VASP energy: -45.4 eV/f.u.
DOS at the Fermi energy: 17.3 states/eV per cell
formation energy without anion corrections: -2.04 eV/atom

abc: 7.7504 7.7504 12.8483
angles: 90.00 90.00 120.00
Space group P-31c (No. 163)
Symmetry-distinct sites (fractional):
K: 0.0000 0.0000 0.0000 (multiplicity 2)
Ba: 0.3333 0.6667 0.2500 (multiplicity 2)
Np: 0.3333 0.6667 0.7500 (multiplicity 2)
Cl: 0.0342 0.3740 0.6324 (multiplicity 12)


# 8
The following is a GGA-PBE calculation of an optimized crystal structure of La2InIrPb, from the Alexandria database.

Summary:
VASP energy: -28.0 eV/f.u.
E_form: -0.5623 eV/atom
DOS at the Fermi energy: 3.1 states/eV per cell

abc: 5.531 5.531 5.182
angles: 90.00 90.00 90.00
Space group P4/mmm (No. 123)
Symmetry-distinct sites (fractional):
La: 0.000 0.500 0.000 (multiplicity 2)
In: 0.000 0.000 0.500 (multiplicity 1)
Ir: 0.000 0.000 0.000 (multiplicity 1)
Pb: 0.500 0.500 0.500 (multiplicity 1)


# 9
The following is a GGA-PBE calculation of an optimized crystal structure of Dy8Ir2Au, from the Alexandria database.

Summary:
VASP energy: -62.9 eV/f.u.
E_form: -0.4622 eV/atom
DOS at the Fermi energy: 24.7 states/eV per cell

abc: 8.525 12.786 5.726
angles: 90.00 106.01 90.00
Space group Cm (No. 8)
Symmetry-distinct sites (fractional):
Dy: 0.000 0.000 0.000 (multiplicity 2)
Dy: 0.073 0.369 0.786 (multiplicity 4)
Dy: 0.165 0.131 0.600 (multiplicity 4)
Dy: 0.245 0.500 0.383 (multiplicity 2)
Dy: 0.370 0.233 0.190 (multiplicity 4)
Ir: 0.370 0.309 0.692 (multiplicity 4)
Au: 0.373 0.000 0.080 (multiplicity 2)


# 10
The following is a GGA-PBE calculation of an optimized crystal structure of Nd3In4Pt4, from the Alexandria database.

Summary:
VASP energy: -58.9 eV/f.u.
E_form: -0.8584 eV/atom
DOS at the Fermi energy: 12.1 states/eV per cell

abc: 4.120 7.972 15.459
angles: 90.00 90.00 90.00
Space group Immm (No. 71)
Symmetry-distinct sites (fractional):
Nd: 0.000 0.000 0.000 (multiplicity 2)
Nd: 0.000 0.500 0.115 (multiplicity 4)
In: 0.000 0.303 0.329 (multiplicity 8)
Pt: 0.000 0.000 0.230 (multiplicity 4)
Pt: 0.000 0.200 0.500 (multiplicity 4)


# 11
The following is a GGA-PBE calculation of an optimized crystal structure of TbMgScPb, from the Alexandria database.

Summary:
VASP energy: -17.2 eV/f.u.
E_form: -0.2381 eV/atom
DOS at the Fermi energy: 19.1 states/eV per cell

abc: 7.409 7.409 7.409
angles: 90.00 90.00 90.00
Space group F-43m (No. 216)
Symmetry-distinct sites (fractional):
Tb: 0.000 0.000 0.000 (multiplicity 4)
Mg: 0.250 0.250 0.250 (multiplicity 4)
Sc: 0.000 0.000 0.500 (multiplicity 4)
Pb: 0.250 0.250 0.750 (multiplicity 4)


# 12
The following is a GGA-PBE calculation of an optimized crystal structure of Pm2Y6In, from the Alexandria database.

Summary:
VASP energy: -51.2 eV/f.u.
E_form: -0.0215 eV/atom
DOS at the Fermi energy: 21.9 states/eV per cell
relative energy among the computed polymorphs: 0.054 eV/atom

abc: 3.520 10.200 16.080
angles: 90.00 90.00 90.00
Space group Immm (No. 71)
Symmetry-distinct sites (fractional):
Pm: 0.000 0.000 0.152 (multiplicity 4)
Y: 0.000 0.296 0.500 (multiplicity 4)
Y: 0.000 0.338 0.177 (multiplicity 8)
In: 0.000 0.500 0.000 (multiplicity 2)